A plane-wave DFT calculation with PBE with a Hubbard U was carried out for an optimized crystal structure of Co2BiO.

Calculated values
The space group is No. 225. As for the energy above the most stable polymorph in this dataset: 811 meV/atom.

a b c (Å): 4.456 4.456 4.456
angles (deg): 60.00 60.00 60.00
Fractional positions:
Co1 0.250 0.250 0.250
Co2 0.750 0.750 0.750
O1 0.000 0.000 0.000
Bi1 0.500 0.500 0.500